DFT (GGA+U) results for a geometry-optimized AlGa2MoO6 structure.

POSCAR file:
```
AlGa2MoO6
1.0
2.561 1.479 4.600
-2.561 1.479 4.600
0.000 -2.957 4.600
Al Ga Mo O
1 2 1 6
Direct
0.000 0.000 0.000 Al
0.294 0.294 0.294 Ga
0.792 0.792 0.792 Ga
0.503 0.503 0.503 Mo
0.083 0.389 0.728 O
0.187 0.925 0.610 O
0.389 0.728 0.083 O
0.610 0.187 0.925 O
0.728 0.083 0.389 O
0.925 0.610 0.187 O
```

Computed properties:
Uncorrected energy ... -66.96 eV per cell
N(E_F) ... 0.00 states/eV per cell